DFT (PBE-GGA) results for a relaxed GdReHg crystal.

Structure (CIF):
```
data_GdReHg
_chemical_formula_sum 'Gd4 Re4 Hg4'
_space_group_name_H-M_alt 'F -4 3 m'
_space_group_IT_number 216
_space_group_name_Hall 'F -4 2 3'
_cell_length_a 6.831
_cell_length_b 6.831
_cell_length_c 6.831
_cell_angle_alpha 90.00
_cell_angle_beta 90.00
_cell_angle_gamma 90.00
loop_
_atom_site_label
_atom_site_type_symbol
_atom_site_fract_x
_atom_site_fract_y
_atom_site_fract_z
_atom_site_occupancy
Gd1 Gd 0.000 0.000 0.000 1
Re1 Re 0.250 0.250 0.250 1
Hg1 Hg 0.250 0.250 0.750 1
```

Values from the calculation:
calculated density	11.337	Mg/m³
energy of formation from the pure elements	1236	meV/atom
E_tot	-54.66	eV/cell